Cd5Ga2Hg12 after structural relaxation, computed with GGA-PBE.

Cell: 6.3402 9.1514 10.2262 Å, 107.25 90.00 110.27°
Last column: nearest neighbours and their distance in Å.
Sites, in units of the cell vectors:
Cd1 0.6921 0.3842 0.3407  7 Hg 2.97-3.06
Cd2 0.0000 0.0000 0.5000  6 Hg 2.88-2.96
Cd3 0.3359 0.6717 0.1715  7 Hg 2.90-3.04
Cd4 0.6641 0.3283 0.8285  7 Hg 2.90-3.04
Cd5 0.3079 0.6158 0.6593  7 Hg 2.97-3.06
Hg1 0.9923 0.9846 0.7773  2 Ga 2.86, 1 Cd 2.88
Hg2 0.4061 0.3055 0.5694  4 Cd 2.96-3.06, 2 Hg 3.13-3.21
Hg3 0.0661 0.6503 0.9169  1 Ga 2.86, 3 Cd 3.04, 1 Hg 3.06
Hg4 0.4873 0.9746 0.7012  2 Cd 2.90-2.97
Hg5 0.5842 0.6503 0.9169  1 Ga 2.86, 3 Cd 3.04, 1 Hg 3.06
Hg6 0.0077 0.0154 0.2227  2 Ga 2.86, 1 Cd 2.88
Hg7 0.9339 0.3497 0.0831  1 Ga 2.86, 3 Cd 3.04, 1 Hg 3.06
Hg8 0.4158 0.3497 0.0831  1 Ga 2.86, 3 Cd 3.04, 1 Hg 3.06
Hg9 0.5939 0.6945 0.4306  4 Cd 2.96-3.06, 2 Hg 3.13-3.21
Hg10 0.5127 0.0254 0.2988  2 Cd 2.90-2.97
Hg11 0.8993 0.3055 0.5694  4 Cd 2.96-3.06, 2 Hg 3.13-3.21
Hg12 0.1007 0.6945 0.4306  4 Cd 2.96-3.06, 2 Hg 3.13-3.21
Ga1 0.7186 0.0000 0.0000  1 Ga 2.77, 4 Hg 2.86
Ga2 0.2814 0.0000 0.0000  1 Ga 2.77, 4 Hg 2.86

Output
space-group type	C2/m, No. 12
VASP energy	-12.991	eV/cell
formation enthalpy at 0 K	1.3	eV/f.u.